Entry w
Here is crystalline MnBPdAuI at its relaxed geometry from Alexandria via LeMat-Bulk. Energies are from GGA-PBE.

POSCAR file:
```
MnBPdAuI
1.0
-0.0009 2.4078 -2.3212
0.4538 -3.1892 -0.8990
-28.5047 -3.1409 -3.2465
I Au B Mn Pd
3 3 3 3 3
direct
0.0000 0.0000 0.4923
0.3333 0.6667 0.1590
0.6667 0.3333 0.8257
0.0000 0.0000 0.3903
0.6667 0.3333 0.7237
0.3333 0.6667 0.0570
0.0000 0.0000 0.2869
0.6667 0.3333 0.6202
0.3333 0.6667 0.9536
0.3333 0.6667 0.6587
0.0000 0.0000 0.9920
0.6667 0.3333 0.3253
0.0000 0.0000 0.5906
0.3333 0.6667 0.2573
0.6667 0.3333 0.9239
```

- magnetization (μB/cell) = 10.27
- theoretical density (g cm⁻³) = 8.8

Entry x
Here is crystalline MnBPdAuI at its relaxed geometry from Alexandria via LeMat-Bulk. Energies are from GGA-PBE.

POSCAR file:
```
MnBPdAuI
1.0
-2.0136 -1.1374 2.5457
-1.1461 -3.2356 -0.0365
6.1741 -2.3037 6.2680
Pd Au I B Mn
1 1 1 1 1
direct
0.6137 0.4708 0.9942
0.4317 0.0648 0.7714
0.6444 0.9513 0.4488
0.8807 0.8361 0.0932
0.1296 0.2099 0.2138
```

- magnetization (μB/cell) = 3.70
- theoretical density (g cm⁻³) = 9.1

Entry y
Here is crystalline MnBPdAuI at its relaxed geometry from Alexandria via LeMat-Bulk. Energies are from GGA-PBE.

POSCAR file:
```
MnBPdAuI
1.0
-2.4405 2.1595 -2.6752
1.1189 -1.9734 -2.6138
-10.3356 -9.4975 2.7464
Pd I Mn Au B
2 2 2 2 2
direct
0.5933 0.5000 0.2240
0.5933 0.0000 0.7240
0.7659 0.5000 0.5807
0.7659 0.0000 0.0807
0.5314 0.5000 0.4054
0.5314 0.0000 0.9054
0.0446 0.5000 0.8526
0.0446 0.0000 0.3526
0.5371 0.0000 0.3114
0.5371 0.5000 0.8114
```

- magnetization (μB/cell) = 7.42
- theoretical density (g cm⁻³) = 7.9

Quick one: least stable of them? entry x

Entry w
Here is crystalline MnBPdAuI at its relaxed geometry from Alexandria via LeMat-Bulk. Energies are from GGA-PBE.

POSCAR file:
```
MnBPdAuI
1.0
4.2582 0.0000 0.0047
0.0000 3.3970 0.0000
-3.5107 0.0000 13.5473
B Pd Au Mn I
2 2 2 2 2
direct
0.8122 0.0000 0.7898
0.8122 0.5000 0.2898
0.9821 0.5000 0.8775
0.9821 0.0000 0.3775
0.2816 0.0000 0.7498
0.2816 0.5000 0.2498
0.6999 0.5000 0.6838
0.6999 0.0000 0.1838
0.5888 0.5000 0.0235
0.5888 0.0000 0.5235
```

- magnetization (μB/cell) = 6.90
- theoretical density (g cm⁻³) = 8.4

Entry x
Here is crystalline MnBPdAuI at its relaxed geometry from Alexandria via LeMat-Bulk. Energies are from GGA-PBE.

POSCAR file:
```
MnBPdAuI
1.0
8.3753 0.0000 0.0976
0.0000 3.2806 0.0000
-4.1625 0.0000 7.5577
I Pd Au Mn B
2 2 2 2 2
direct
0.4760 0.0000 0.0831
0.4760 0.5000 0.5831
0.8299 0.5000 0.8372
0.8299 0.0000 0.3372
0.0248 0.0000 0.1549
0.0248 0.5000 0.6549
0.1927 0.5000 0.0092
0.1927 0.0000 0.5092
0.0058 0.0000 0.8765
0.0058 0.5000 0.3765
```

- magnetization (μB/cell) = 6.57
- theoretical density (g cm⁻³) = 7.9

Entry y
Here is crystalline MnBPdAuI at its relaxed geometry from Alexandria via LeMat-Bulk. Energies are from GGA-PBE.

POSCAR file:
```
MnBPdAuI
1.0
8.1872 0.0000 0.0666
0.0000 3.6634 0.0000
-0.0563 0.0000 6.3705
Pd Mn B I Au
2 2 2 2 2
direct
0.4562 0.0000 0.2848
0.4562 0.5000 0.7848
0.0292 0.5000 0.1183
0.0292 0.0000 0.6183
0.3668 0.5000 0.1179
0.3668 0.0000 0.6179
0.8048 0.5000 0.7854
0.8048 0.0000 0.2854
0.2352 0.5000 0.4511
0.2352 0.0000 0.9511
```

- magnetization (μB/cell) = 8.40
- theoretical density (g cm⁻³) = 8.6

Entry z
Here is crystalline MnBPdAuI at its relaxed geometry from Alexandria via LeMat-Bulk. Energies are from GGA-PBE.

POSCAR file:
```
MnBPdAuI
1.0
-2.2270 7.8685 -3.1141
0.3988 -1.1625 -3.2223
-5.2464 -2.8754 0.3881
I B Pd Mn Au
2 2 2 2 2
direct
0.8744 0.5000 0.7509
0.8744 0.0000 0.2509
0.5058 0.5000 0.6224
0.5058 0.0000 0.1224
0.4042 0.5000 0.9212
0.4042 0.0000 0.4212
0.6312 0.5000 0.3308
0.6312 0.0000 0.8308
0.1758 0.0000 0.6762
0.1758 0.5000 0.1762
```

- magnetization (μB/cell) = 7.37
- theoretical density (g cm⁻³) = 9.4

Quick one: least stable of them? entry y